A plane-wave DFT calculation with GGA+U was carried out for a relaxed NaNpMoO6 crystal.

```
data_NaNpMoO6
_chemical_formula_sum 'Na2 Np2 Mo2 O12'
_space_group_name_H-M_alt 'P -3 1 c'
_space_group_IT_number 163
_space_group_name_Hall '-P 3 2c'
_cell_length_a 5.5107
_cell_length_b 5.5107
_cell_length_c 10.1460
_cell_angle_alpha 90.00
_cell_angle_beta 90.00
_cell_angle_gamma 120.00
loop_
_atom_site_label
_atom_site_fract_x
_atom_site_fract_y
_atom_site_fract_z
Na1 0.0000 0.0000 0.0000
Np1 0.3333 0.6667 0.2500
Mo1 0.3333 0.6667 0.7500
O1 0.0103 0.3753 0.6457
```

Summary:
DFT total energy: -7.859 eV/atom
mass density: 5.6 g/cm³
crystal system: trigonal
total moment: 2.00 μB/f.u.